a) # Tb2Nd4Er3 | Alexandria via LeMat-Bulk | PBE | optimized geometry
# DOS(E_F) in states/eV/atom: 1.534
data_Tb2Nd4Er3
_symmetry_space_group_name_H-M 'C 1 2/c 1'
_symmetry_Int_Tables_number 15
_symmetry_space_group_name_Hall '-C 2yc'
_cell_length_a 15.700
_cell_length_b 12.003
_cell_length_c 6.351
_cell_angle_alpha 90.00
_cell_angle_beta 94.25
_cell_angle_gamma 90.00
loop_
_atom_site_label
_atom_site_fract_x
_atom_site_fract_y
_atom_site_fract_z
Tb1 0.245 0.118 0.404
Nd1 0.061 0.250 0.480
Nd2 0.173 0.357 0.075
Er1 0.000 0.481 0.750
Er2 0.098 0.076 0.918



b) # Tb2Nd4Er3 | Alexandria via LeMat-Bulk | PBE | optimized geometry
# DOS(E_F) in states/eV/atom: 1.308
data_Tb2Nd4Er3
_symmetry_space_group_name_H-M 'C 1 2/m 1'
_symmetry_Int_Tables_number 12
_symmetry_space_group_name_Hall '-C 2y'
_cell_length_a 11.339
_cell_length_b 5.094
_cell_length_c 10.791
_cell_angle_alpha 90.00
_cell_angle_beta 108.20
_cell_angle_gamma 90.00
loop_
_atom_site_label
_atom_site_fract_x
_atom_site_fract_y
_atom_site_fract_z
Tb1 0.168 0.000 0.224
Nd1 0.001 0.500 0.334
Nd2 0.166 0.000 0.888
Er1 0.000 0.500 0.000
Er2 0.166 0.000 0.554



Relative energies, meV per atom: a) 125; b) 0.